No. 1
Computed, not measured: an optimized crystal structure of CsTlPb at the GGA-PBE level of DFT.

Output
For the total magnetic moment, the calculation gives 0.0 μB per formula unit. The energy of formation from the pure elements is -0.11 eV/atom. The value obtained for the total energy is -14.514 eV per cell. For the mass density, the calculation gives 6.6 Mg/m³.

a b c (Å): 20.956 9.704 9.704
angles (deg): 146.70 157.89 22.11
Fractional coordinates of all 6 atoms:
Pb  0.478  0.405  0.595
Pb  0.573  0.715  0.285
Cs  0.812  0.239  0.761
Cs  0.145  0.571  0.429
Tl  0.978  0.407  0.593
Tl  0.383  0.097  0.903

=====

No. 2
Computed, not measured: an optimized crystal structure of Sr2BeRuO6 at the GGA-PBE level of DFT.

Output
For the total magnetic moment, the calculation gives 1.6 μB per formula unit. Its raw formation energy is -1959 meV/atom. The value obtained for the total energy is -131.418 eV per cell. For the mass density, the calculation gives 5.4 Mg/m³.

a b c (Å): 5.487 5.487 9.517
angles (deg): 73.25 73.25 60.00
Last column: magnetic moment on the atom in μB.
Fractional coordinates of all 20 atoms:
Sr  0.868  0.868  0.396  0.00
Sr  0.132  0.132  0.604  0.00
Sr  0.714  0.714  0.857  0.01
Sr  0.286  0.286  0.143  0.01
Be  0.000  0.000  0.000  0.00
Be  0.500  0.500  0.500  0.00
Ru  0.590  0.590  0.230  1.02
Ru  0.410  0.410  0.770  1.02
O  0.855  0.386  0.373  0.07
O  0.386  0.855  0.373  0.07
O  0.386  0.386  0.373  0.07
O  0.145  0.614  0.627  0.07
O  0.614  0.145  0.627  0.07
O  0.614  0.614  0.627  0.07
O  0.714  0.201  0.884  0.07
O  0.201  0.714  0.884  0.07
O  0.201  0.201  0.884  0.07
O  0.286  0.799  0.116  0.07
O  0.799  0.286  0.116  0.07
O  0.799  0.799  0.116  0.07

=====

No. 3
Computed, not measured: an optimized crystal structure of CuRe2Hg at the GGA-PBE level of DFT.

Output
For the total magnetic moment, the calculation gives 0.0 μB per formula unit. The energy of formation from the pure elements is 0.38 eV/atom. The value obtained for the total energy is -27.793 eV per cell. For the mass density, the calculation gives 16.4 Mg/m³.

a b c (Å): 3.005 3.005 7.150
angles (deg): 90.00 90.00 90.00
Fractional coordinates of all 4 atoms:
Cu  0.000  0.000  0.484
Hg  0.500  0.500  0.732
Re  0.000  0.000  0.042
Re  0.500  0.500  0.243

=====

No. 4
Computed, not measured: an optimized crystal structure of K2N2Cl at the GGA-PBE level of DFT.

Output
For the total magnetic moment, the calculation gives 0.1 μB per formula unit. Its raw formation energy is 683 meV/atom. The value obtained for the total energy is -17.277 eV per cell. For the mass density, the calculation gives 2.6 Mg/m³. The excess energy over the best structure of this formula in the dataset comes out at 1533 meV per atom.

a b c (Å): 3.192 3.192 9.094
angles (deg): 79.89 79.89 90.00
Fractional coordinates of all 5 atoms:
K  0.383  0.383  0.234
K  0.617  0.617  0.766
N  0.750  0.250  0.500
N  0.250  0.750  0.500
Cl  0.000  0.000  0.000

=====

No. 5
Computed, not measured: an optimized crystal structure of Ca8TlAg2 at the GGA-PBE level of DFT.

Output
For the total magnetic moment, the calculation gives 0.0 μB per formula unit. The energy of formation from the pure elements is -0.18 eV/atom. The value obtained for the total energy is -26.112 eV per cell. For the mass density, the calculation gives 3.3 Mg/m³.

a b c (Å): 5.841 8.447 8.447
angles (deg): 112.12 98.64 98.64
Fractional coordinates of all 11 atoms:
Ca  0.912  0.931  0.676
Ca  0.912  0.676  0.931
Ca  0.315  0.627  0.627
Ca  0.500  0.763  0.237
Ca  0.500  0.237  0.763
Ca  0.685  0.373  0.373
Ca  0.088  0.324  0.069
Ca  0.088  0.069  0.324
Tl  0.500  0.000  0.000
Ag  0.000  0.316  0.684
Ag  0.000  0.684  0.316

=====

No. 6
Computed, not measured: an optimized crystal structure of Mg3PC at the GGA-PBE level of DFT.

Output
For the total magnetic moment, the calculation gives 0.0 μB per formula unit. The energy of formation from the pure elements is -0.01 eV/atom. The value obtained for the total energy is -19.477 eV per cell. For the mass density, the calculation gives 2.4 Mg/m³. The excess energy over the best structure of this formula in the dataset comes out at 0 meV per atom.

a b c (Å): 4.311 4.311 4.311
angles (deg): 90.00 90.00 90.00
Fractional coordinates of all 5 atoms:
P  0.500  0.500  0.500
Mg  0.000  0.500  0.000
Mg  0.000  0.000  0.500
Mg  0.500  0.000  0.000
C  0.000  0.000  0.000